Record 1
This record from the Alexandria database describes a geometry-optimized Tb6Er4Tm structure. The functional is PBE-GGA.

Cell lengths 6.506, 6.506, 9.654 Å; angles 109.69, 109.69, 90.00 degrees
Fractional positions:
Tm1 0.500 0.500 0.000
Er1 0.951 0.951 0.262
Er2 0.310 0.310 0.262
Er3 0.690 0.049 0.738
Er4 0.049 0.690 0.738
Tb1 0.139 0.139 0.652
Tb2 0.487 0.861 0.348
Tb3 0.000 0.500 0.000
Tb4 0.861 0.487 0.348
Tb5 0.513 0.513 0.652
Tb6 0.500 0.000 0.000

* total magnetization: 0.00 μB per formula unit
* energy relative to the lowest polymorph listed for this composition: 189.3 kJ/mol of formula units
* calculated formation energy: 30 kJ per mole of atoms

***

Record 2
This record from the Alexandria database describes a geometry-optimized Ca2AcGeP structure. The functional is PBE-GGA.

Cell lengths 4.915, 4.915, 7.122 Å; angles 90.00, 90.00, 90.00 degrees
Fractional positions:
Ca1 0.500 0.000 0.906
Ca2 0.000 0.500 0.906
Ge1 0.500 0.500 0.627
Ac1 0.000 0.000 0.481
P1 0.000 0.000 0.080

* total magnetization: 0.00 μB per formula unit
* calculated formation energy: -67 kJ per mole of atoms

***

Record 3
This record from the Alexandria database describes a geometry-optimized SiH3Se structure. The functional is PBE-GGA.

Cell lengths 3.605, 3.605, 3.605 Å; angles 90.00, 90.00, 90.00 degrees
Fractional positions:
H1 0.500 0.000 0.000
H2 0.000 0.500 0.000
H3 0.000 0.000 0.500
Si1 0.000 0.000 0.000
Se1 0.500 0.500 0.500

* total magnetization: 0.00 μB per formula unit
* energy relative to the lowest polymorph listed for this composition: 349.8 kJ/mol of formula units

***

Record 4
This record from the Alexandria database describes a geometry-optimized CeMgPb structure. The functional is PBE-GGA.

Cell lengths 5.211, 5.211, 6.925 Å; angles 90.00, 90.00, 120.00 degrees
Fractional positions:
Mg1 0.667 0.333 0.562
Mg2 0.333 0.667 0.438
Pb1 0.000 0.000 0.252
Pb2 0.000 0.000 0.748
Ce1 0.333 0.667 0.952
Ce2 0.667 0.333 0.048

* total magnetization: 1.44 μB per formula unit
* calculated formation energy: -4 kJ per mole of atoms

***

Record 5
This record from the Alexandria database describes a geometry-optimized TmThTeAs structure. The functional is PBE-GGA.

Cell lengths 4.142, 4.144, 7.875 Å; angles 90.00, 105.24, 120.01 degrees
Fractional positions:
Th1 0.113 0.954 0.082
Te1 0.976 0.386 0.377
As1 0.295 0.546 0.856
Tm1 0.494 0.145 0.654

* total magnetization: 0.00 μB per formula unit
* uncorrected formation energy: -1304.8 meV/atom

***

Record 6
This record from the Alexandria database describes a geometry-optimized BaHg2Au2 structure. The functional is PBE-GGA.

Cell lengths 5.266, 5.266, 6.287 Å; angles 65.24, 65.24, 90.00 degrees
Fractional positions:
Au1 0.750 0.250 0.500
Au2 0.250 0.750 0.500
Ba1 0.000 0.000 0.000
Hg1 0.641 0.641 0.718
Hg2 0.359 0.359 0.282

* total magnetization: 0.00 μB per formula unit
* energy relative to the lowest polymorph listed for this composition: 21.7 kJ/mol of formula units
* calculated formation energy: -40 kJ per mole of atoms

***

Record 7
This record from the Alexandria database describes a geometry-optimized CsHgO2 structure. The functional is PBE-GGA.

Cell lengths 7.718, 7.718, 7.718 Å; angles 30.93, 30.93, 30.93 degrees
Fractional positions:
O1 0.912 0.912 0.912
O2 0.088 0.088 0.088
Cs1 0.500 0.500 0.500
Hg1 0.000 0.000 0.000

* total magnetization: 1.00 μB per formula unit
* uncorrected formation energy: -513.6 meV/atom

***

Record 8
This record from the Alexandria database describes a geometry-optimized Pr2Be3AgGe4 structure. The functional is PBE-GGA.

Cell lengths 4.216, 4.216, 10.011 Å; angles 90.00, 90.00, 90.00 degrees
Fractional positions:
Be1 0.000 0.000 0.500
Be2 0.000 0.500 0.121
Be3 0.500 0.000 0.879
Ge1 0.000 0.000 0.000
Ge2 0.500 0.500 0.000
Ge3 0.500 0.000 0.649
Ge4 0.000 0.500 0.351
Pr1 0.000 0.500 0.759
Pr2 0.500 0.000 0.241
Ag1 0.500 0.500 0.500

* total magnetization: 0.00 μB per formula unit
* calculated formation energy: -34 kJ per mole of atoms

***

Q: What is the total magnetization in the eighth record?
A: 0.00 μB per formula unit